# 1
Rb3Ag2F8: optimized geometry, PBE.

Results
Space group: R-3m
Spin magnetization (μB per cell): 3.0
D(E_F) (states/eV/atom): 0.67
Raw formation energy (meV/atom): -1713

The structure in CIF format:
```
data_Rb3Ag2F8
_chemical_formula_sum 'Rb3 Ag2 F8'
_space_group_name_H-M_alt 'P 1'
_space_group_IT_number 1
_cell_length_a 8.9424
_cell_length_b 8.9424
_cell_length_c 8.9424
_cell_angle_alpha 39.82
_cell_angle_beta 39.82
_cell_angle_gamma 39.82
loop_
_space_group_symop_operation_xyz
'x,y,z'
loop_
_atom_site_label
_atom_site_fract_x
_atom_site_fract_y
_atom_site_fract_z
_atom_site_occupancy
Rb1 0.0000 0.0000 0.0000 1
Rb2 0.2001 0.2001 0.2001 1
Rb3 0.7999 0.7999 0.7999 1
Ag1 0.3968 0.3968 0.3968 1
Ag2 0.6032 0.6032 0.6032 1
F1 0.2135 0.7384 0.7384 1
F2 0.2616 0.2616 0.7865 1
F3 0.2616 0.7865 0.2616 1
F4 0.3109 0.3109 0.3109 1
F5 0.6891 0.6891 0.6891 1
F6 0.7384 0.2135 0.7384 1
F7 0.7384 0.7384 0.2135 1
F8 0.7865 0.2616 0.2616 1
```

# 2
IrSe2Br: optimized geometry, PBE.

Results
Space group: P1
Spin magnetization (μB per cell): 0.0
D(E_F) (states/eV/atom): 0.04
Distance to the lowest polymorph of the same formula (kJ/mol of formula units): 51.2
Raw formation energy (meV/atom): -96

The structure in CIF format:
```
data_IrSe2Br
_chemical_formula_sum 'Ir1 Se2 Br1'
_space_group_name_H-M_alt 'P 1'
_space_group_IT_number 1
_cell_length_a 3.7691
_cell_length_b 4.8111
_cell_length_c 6.9273
_cell_angle_alpha 105.31
_cell_angle_beta 93.21
_cell_angle_gamma 105.15
loop_
_space_group_symop_operation_xyz
'x,y,z'
loop_
_atom_site_label
_atom_site_fract_x
_atom_site_fract_y
_atom_site_fract_z
_atom_site_occupancy
Ir1 0.0000 0.0000 0.0000 1
Se1 0.0350 0.5619 0.1151 1
Se2 0.5850 0.1951 0.2311 1
Br1 0.4216 0.8542 0.7356 1
```